Below is a relaxed LiSc6Ni5 crystal, with properties calculated at the PBE level.

Calculated values
V: 16.329 A^3/atom
formation enthalpy at 0 K: -406 meV/atom

Geometry as CIF:
```
data_LiSc6Ni5
_chemical_formula_sum 'Li2 Sc12 Ni10'
_cell_length_a 4.517
_cell_length_b 13.546
_cell_length_c 6.404
_cell_angle_alpha 90.00
_cell_angle_beta 90.00
_cell_angle_gamma 90.00
_space_group_name_H-M_alt 'C m m m'
_space_group_IT_number 65
_space_group_name_Hall '-C 2 2'
loop_
_atom_site_label
_atom_site_type_symbol
_atom_site_fract_x
_atom_site_fract_y
_atom_site_fract_z
_atom_site_occupancy
Li1 Li 0.000 0.000 0.000 1
Sc1 Sc 0.000 0.170 0.254 1
Sc2 Sc 0.000 0.500 0.259 1
Ni1 Ni 0.000 0.000 0.500 1
Ni2 Ni 0.000 0.331 0.500 1
Ni3 Ni 0.000 0.336 0.000 1
```

---

Below is a relaxed MoAsBr2 crystal, with properties calculated at the PBE level.

Calculated values
offset from the most stable computed form: 946 meV per atom
ΔE_f (raw): 17.79 kcal/mol of atoms
V: 20.453 A^3/atom

Geometry as CIF:
```
data_MoAsBr2
_chemical_formula_sum 'Mo2 As2 Br4'
_cell_length_a 5.189
_cell_length_b 5.189
_cell_length_c 6.076
_cell_angle_alpha 90.00
_cell_angle_beta 90.00
_cell_angle_gamma 90.00
_space_group_name_H-M_alt 'I -4 m 2'
_space_group_IT_number 119
_space_group_name_Hall 'I -4 -2'
loop_
_atom_site_label
_atom_site_type_symbol
_atom_site_fract_x
_atom_site_fract_y
_atom_site_fract_z
_atom_site_occupancy
Mo1 Mo 0.000 0.000 0.000 1
As1 As 0.000 0.500 0.750 1
Br1 Br 0.000 0.000 0.500 1
Br2 Br 0.000 0.500 0.250 1
```

---

Below is a relaxed HgTeCBr2 crystal, with properties calculated at the PBE level.

Calculated values
ΔE_f (raw): 24.69 kcal/mol of atoms
V: 24.391 A^3/atom

Geometry as CIF:
```
data_HgTeCBr2
_chemical_formula_sum 'Hg1 Te1 C1 Br2'
_cell_length_a 5.444
_cell_length_b 5.444
_cell_length_c 4.114
_cell_angle_alpha 90.00
_cell_angle_beta 90.00
_cell_angle_gamma 90.00
_space_group_name_H-M_alt 'P 4/m m m'
_space_group_IT_number 123
_space_group_name_Hall '-P 4 2'
loop_
_atom_site_label
_atom_site_type_symbol
_atom_site_fract_x
_atom_site_fract_y
_atom_site_fract_z
_atom_site_occupancy
Hg1 Hg 0.000 0.000 0.000 1
Te1 Te 0.500 0.500 0.000 1
C1 C 0.000 0.000 0.500 1
Br1 Br 0.000 0.500 0.500 1
```

---

Below is a relaxed KCS3 crystal, with properties calculated at the PBE level.

Calculated values
offset from the most stable computed form: 1030 meV per atom
ΔE_f (raw): 20.26 kcal/mol of atoms
V: 17.210 A^3/atom

Geometry as CIF:
```
data_KCS3
_chemical_formula_sum 'K1 C1 S3'
_cell_length_a 4.415
_cell_length_b 4.415
_cell_length_c 4.415
_cell_angle_alpha 90.00
_cell_angle_beta 90.00
_cell_angle_gamma 90.00
_space_group_name_H-M_alt 'P m -3 m'
_space_group_IT_number 221
_space_group_name_Hall '-P 4 2 3'
loop_
_atom_site_label
_atom_site_type_symbol
_atom_site_fract_x
_atom_site_fract_y
_atom_site_fract_z
_atom_site_occupancy
K1 K 0.000 0.000 0.000 1
C1 C 0.500 0.500 0.500 1
S1 S 0.000 0.500 0.500 1
```